(1)
Here is a relaxed Tl2HgO crystal from Alexandria via LeMat-Bulk. Energies are from PBE-GGA.

The crystal system is tetragonal. As for the theoretical density: 9.8 g/cm³. The uncorrected formation energy is -0.322 eV/atom. The total energy comes out at -22.6 eV/cell. The distance to the lowest polymorph of the same formula comes out at 0.114 eV/atom.

Structure (CIF):
```
data_Tl2HgO
_cell_length_a 7.683
_cell_length_b 7.683
_cell_length_c 6.520
_cell_angle_alpha 53.90
_cell_angle_beta 53.90
_cell_angle_gamma 90.00
_space_group_name_H-M_alt 'P 1'
_space_group_IT_number 1
_space_group_name_Hall 'P 1'
loop_
_atom_site_label
_atom_site_type_symbol
_atom_site_fract_x
_atom_site_fract_y
_atom_site_fract_z
Tl1 Tl 0.537 0.125 0.250
Tl2 Tl 0.375 0.463 0.750
Tl3 Tl 0.875 0.787 0.750
Tl4 Tl 0.213 0.625 0.250
Hg1 Hg 0.750 0.250 0.500
Hg2 Hg 0.000 0.000 0.000
O1 O 0.500 0.500 0.000
O2 O 0.250 0.750 0.500
```



(2)
Here is a relaxed Y2Ho crystal from Alexandria via LeMat-Bulk. Energies are from PBE-GGA.

The crystal system is cubic. As for the theoretical density: 5.6 g/cm³. The total energy comes out at -33.3 eV/cell. The distance to the lowest polymorph of the same formula comes out at 0.285 eV/atom. The value obtained for the formation energy from the elements is 0.286 eV per atom.

Structure (CIF):
```
data_Y2Ho
_cell_length_a 6.586
_cell_length_b 6.586
_cell_length_c 6.586
_cell_angle_alpha 60.00
_cell_angle_beta 60.00
_cell_angle_gamma 60.00
_space_group_name_H-M_alt 'P 1'
_space_group_IT_number 1
_space_group_name_Hall 'P 1'
loop_
_atom_site_label
_atom_site_type_symbol
_atom_site_fract_x
_atom_site_fract_y
_atom_site_fract_z
Y1 Y 0.625 0.625 0.625
Y2 Y 0.125 0.625 0.625
Y3 Y 0.625 0.625 0.125
Y4 Y 0.625 0.125 0.625
Ho1 Ho 0.250 0.250 0.250
Ho2 Ho 0.000 0.000 0.000
```



(3)
Here is a relaxed Li2MgH4 crystal from Alexandria via LeMat-Bulk. Energies are from PBE-GGA.

The crystal system is tetragonal. As for the theoretical density: 1.0 g/cm³. The total energy comes out at -20.2 eV/cell. The distance to the lowest polymorph of the same formula comes out at 0.115 eV/atom.

Structure (CIF):
```
data_Li2MgH4
_cell_length_a 3.673
_cell_length_b 3.673
_cell_length_c 5.914
_cell_angle_alpha 71.91
_cell_angle_beta 71.91
_cell_angle_gamma 90.00
_space_group_name_H-M_alt 'P 1'
_space_group_IT_number 1
_space_group_name_Hall 'P 1'
loop_
_atom_site_label
_atom_site_type_symbol
_atom_site_fract_x
_atom_site_fract_y
_atom_site_fract_z
H1 H 0.821 0.821 0.359
H2 H 0.179 0.179 0.641
H3 H 0.500 0.000 0.000
H4 H 0.000 0.500 0.000
Li1 Li 0.651 0.651 0.698
Li2 Li 0.349 0.349 0.302
Mg1 Mg 0.000 0.000 0.000
```



(4)
Here is a relaxed LiHgGe3 crystal from Alexandria via LeMat-Bulk. Energies are from PBE-GGA.

The crystal system is cubic. As for the theoretical density: 6.8 g/cm³. The total energy comes out at -14.0 eV/cell. The distance to the lowest polymorph of the same formula comes out at 0.000 eV/atom. The value obtained for the formation energy from the elements is 0.410 eV per atom.

Structure (CIF):
```
data_LiHgGe3
_cell_length_a 4.699
_cell_length_b 4.699
_cell_length_c 4.699
_cell_angle_alpha 90.00
_cell_angle_beta 90.00
_cell_angle_gamma 90.00
_space_group_name_H-M_alt 'P 1'
_space_group_IT_number 1
_space_group_name_Hall 'P 1'
loop_
_atom_site_label
_atom_site_type_symbol
_atom_site_fract_x
_atom_site_fract_y
_atom_site_fract_z
Li1 Li 0.000 0.000 0.000
Ge1 Ge 0.000 0.000 0.500
Ge2 Ge 0.500 0.000 0.000
Ge3 Ge 0.000 0.500 0.000
Hg1 Hg 0.500 0.500 0.500
```



(5)
Here is a relaxed TbPr4Th3S8 crystal from Alexandria via LeMat-Bulk. Energies are from PBE-GGA.

The crystal system is trigonal. As for the theoretical density: 7.4 g/cm³. The uncorrected formation energy is -1.946 eV/atom. The total energy comes out at -110.2 eV/cell.

Structure (CIF):
```
data_TbPr4Th3S8
_cell_length_a 8.096
_cell_length_b 8.139
_cell_length_c 8.095
_cell_angle_alpha 119.82
_cell_angle_beta 120.00
_cell_angle_gamma 90.00
_space_group_name_H-M_alt 'P 1'
_space_group_IT_number 1
_space_group_name_Hall 'P 1'
loop_
_atom_site_label
_atom_site_type_symbol
_atom_site_fract_x
_atom_site_fract_y
_atom_site_fract_z
S1 S 0.245 0.742 0.489
S2 S 0.753 0.742 0.997
S3 S 0.755 0.258 0.511
S4 S 0.251 0.253 0.502
S5 S 0.247 0.258 0.003
S6 S 0.755 0.258 0.003
S7 S 0.245 0.742 0.997
S8 S 0.749 0.747 0.498
Tb1 Tb 0.000 0.500 0.000
Th1 Th 0.500 0.500 0.000
Th2 Th 0.500 0.500 0.500
Th3 Th 0.000 0.500 0.500
Pr1 Pr 0.500 0.000 0.500
Pr2 Pr 0.500 0.000 0.000
Pr3 Pr 0.000 0.000 0.500
Pr4 Pr 0.000 0.000 0.000
```



(6)
Here is a relaxed PmPrHo6 crystal from Alexandria via LeMat-Bulk. Energies are from PBE-GGA.

The crystal system is monoclinic. As for the theoretical density: 7.5 g/cm³. The total energy comes out at -34.1 eV/cell. The distance to the lowest polymorph of the same formula comes out at 0.218 eV/atom. The value obtained for the formation energy from the elements is 0.367 eV per atom.

Structure (CIF):
```
data_PmPrHo6
_cell_length_a 6.104
_cell_length_b 6.104
_cell_length_c 9.364
_cell_angle_alpha 86.67
_cell_angle_beta 117.14
_cell_angle_gamma 112.91
_space_group_name_H-M_alt 'P 1'
_space_group_IT_number 1
_space_group_name_Hall 'P 1'
loop_
_atom_site_label
_atom_site_type_symbol
_atom_site_fract_x
_atom_site_fract_y
_atom_site_fract_z
Ho1 Ho 0.360 0.458 0.299
Ho2 Ho 0.298 0.625 0.924
Ho3 Ho 0.702 0.375 0.076
Ho4 Ho 0.159 0.061 0.701
Ho5 Ho 0.640 0.542 0.701
Ho6 Ho 0.841 0.939 0.299
Pr1 Pr 0.500 0.000 0.500
Pm1 Pm 0.000 0.000 0.000
```